(P)
RbSnPb3 | PBE | relaxed

Computed properties:
Total moment ... 0.0 μB per formula unit
D(E_F) ... 3.20 states/eV/cell
Calculated volume ... 190.4 Å³/cell

a b c (Å): 5.2967 5.2967 6.7882
angles (deg): 90.00 90.00 90.00
Space group P4mm (No. 99)
One atom of each set of equivalent atoms:
Rb1 0.0000 0.0000 0.0000 (multiplicity 1)
Sn1 0.5000 0.5000 0.2317 (multiplicity 1)
Pb1 0.0000 0.5000 0.4926 (multiplicity 2)
Pb2 0.5000 0.5000 0.7754 (multiplicity 1)



(Q)
RbSnPb3 | PBE | relaxed

Computed properties:
Total moment ... 0.0 μB per formula unit
D(E_F) ... 6.33 states/eV/cell
Calculated volume ... 226.3 Å³/cell

a b c (Å): 6.0935 6.0935 6.0935
angles (deg): 90.00 90.00 90.00
Space group Pm-3m (No. 221)
One atom of each set of equivalent atoms:
Rb1 0.0000 0.0000 0.0000 (multiplicity 1)
Sn1 0.5000 0.5000 0.5000 (multiplicity 1)
Pb1 0.0000 0.0000 0.5000 (multiplicity 3)



Of them, the most stable is (P) and the least stable is (Q).



(P)
Rb2SnPb | PBE | relaxed

Computed properties:
Total moment ... 0.0 μB per formula unit
D(E_F) ... 7.87 states/eV/cell
Calculated volume ... 1117.8 Å³/cell

a b c (Å): 13.8828 13.8828 5.7999
angles (deg): 90.00 90.00 90.00
Space group I-42d (No. 122)
One atom of each set of equivalent atoms:
Rb1 0.0648 0.2500 0.1250 (multiplicity 8)
Sn1 0.0000 0.0000 0.0000 (multiplicity 4)
Pb1 0.0000 0.0000 0.5000 (multiplicity 4)



(Q)
Rb2SnPb | PBE | relaxed

Computed properties:
Total moment ... 0.0 μB per formula unit
D(E_F) ... 7.38 states/eV/cell
Calculated volume ... 657.9 Å³/cell

a b c (Å): 8.6974 8.6974 8.6974
angles (deg): 90.00 90.00 90.00
Space group Fm-3m (No. 225)
One atom of each set of equivalent atoms:
Rb1 0.2500 0.2500 0.2500 (multiplicity 8)
Sn1 0.0000 0.0000 0.0000 (multiplicity 4)
Pb1 0.0000 0.0000 0.5000 (multiplicity 4)



(R)
Rb2SnPb | PBE | relaxed

Computed properties:
Total moment ... 0.0 μB per formula unit
D(E_F) ... 3.90 states/eV/cell
Calculated volume ... 388.1 Å³/cell

a b c (Å): 4.7295 11.0776 7.4072
angles (deg): 90.00 90.00 90.00
Space group Imm2 (No. 44)
One atom of each set of equivalent atoms:
Rb1 0.0000 0.1853 0.0000 (multiplicity 4)
Sn1 0.0000 0.5000 0.2125 (multiplicity 2)
Pb1 0.0000 0.0000 0.4723 (multiplicity 2)



Of them, the most stable is (R) and the least stable is (Q).



(P)
RbSnPb | PBE | relaxed

Computed properties:
Total moment ... 0.0 μB per formula unit
D(E_F) ... 3.19 states/eV/cell
Calculated volume ... 248.2 Å³/cell

a b c (Å): 4.7986 6.0945 8.4883
angles (deg): 90.45 90.01 90.01
Space group P-1 (No. 2)
One atom of each set of equivalent atoms:
Rb1 0.2494 0.4924 0.2720 (multiplicity 2)
Sn1 0.2493 0.9660 0.5930 (multiplicity 2)
Pb1 0.2502 0.1238 0.9287 (multiplicity 2)



(Q)
RbSnPb | PBE | relaxed

Computed properties:
Total moment ... 0.0 μB per formula unit
D(E_F) ... 2.40 states/eV/cell
Calculated volume ... 483.5 Å³/cell

a b c (Å): 4.5827 7.4086 14.2414
angles (deg): 90.00 90.00 90.00
Space group Immm (No. 71)
One atom of each set of equivalent atoms:
Rb1 0.0000 0.0000 0.1867 (multiplicity 4)
Sn1 0.0000 0.5000 0.1068 (multiplicity 4)
Pb1 0.0000 0.2296 0.5000 (multiplicity 4)



(R)
RbSnPb | PBE | relaxed

Computed properties:
Total moment ... 0.0 μB per formula unit
D(E_F) ... 1.42 states/eV/cell
Calculated volume ... 125.6 Å³/cell

a b c (Å): 4.8726 4.8726 6.1098
angles (deg): 90.00 90.00 120.00
Space group P3m1 (No. 156)
One atom of each set of equivalent atoms:
Rb1 0.0000 0.0000 0.0000 (multiplicity 1)
Sn1 0.3333 0.6667 0.5888 (multiplicity 1)
Pb1 0.6667 0.3333 0.4196 (multiplicity 1)



Of them, the most stable is (Q) and the least stable is (R).



(P)
Rb2Sn2Pb | PBE | relaxed

Computed properties:
Total moment ... 0.0 μB per formula unit
D(E_F) ... 9.05 states/eV/cell
Calculated volume ... 407.3 Å³/cell

a b c (Å): 11.1163 11.1163 3.2957
angles (deg): 90.00 90.00 90.00
Space group P4/mbm (No. 127)
One atom of each set of equivalent atoms:
Rb1 0.2048 0.2952 0.0000 (multiplicity 4)
Sn1 0.0904 0.5904 0.5000 (multiplicity 4)
Pb1 0.0000 0.0000 0.0000 (multiplicity 2)



(Q)
Rb2Sn2Pb | PBE | relaxed

Computed properties:
Total moment ... 0.6 μB per formula unit
D(E_F) ... 9.32 states/eV/cell
Calculated volume ... 426.6 Å³/cell

a b c (Å): 4.1995 4.1995 24.1884
angles (deg): 90.00 90.00 90.00
Space group I4/mmm (No. 139)
One atom of each set of equivalent atoms:
Rb1 0.0000 0.0000 0.1070 (multiplicity 4)
Sn1 0.0000 0.5000 0.2500 (multiplicity 4)
Pb1 0.0000 0.0000 0.5000 (multiplicity 2)



Of them, the most stable is (Q) and the least stable is (P).



(P)
Rb2Sn2Pb | PBE | relaxed

Computed properties:
Total moment ... 0.0 μB per formula unit
D(E_F) ... 9.13 states/eV/cell
Calculated volume ... 393.7 Å³/cell

a b c (Å): 10.7500 10.7500 3.4071
angles (deg): 90.00 90.00 90.00
Space group P4/mbm (No. 127)
One atom of each set of equivalent atoms:
Rb1 0.2012 0.2988 0.0000 (multiplicity 4)
Sn1 0.0938 0.5938 0.5000 (multiplicity 4)
Pb1 0.0000 0.0000 0.5000 (multiplicity 2)



(Q)
Rb2Sn2Pb | PBE | relaxed

Computed properties:
Total moment ... 0.0 μB per formula unit
D(E_F) ... 9.07 states/eV/cell
Calculated volume ... 832.9 Å³/cell

a b c (Å): 11.7851 7.4453 9.7880
angles (deg): 90.00 104.12 90.00
Space group C2/c (No. 15)
One atom of each set of equivalent atoms:
Rb1 0.1448 0.1370 0.1410 (multiplicity 8)
Sn1 0.1473 0.3553 0.5058 (multiplicity 8)
Pb1 0.0000 0.4223 0.7500 (multiplicity 4)



Of them, the most stable is (Q) and the least stable is (P).



(P)
RbSn3Pb3 | PBE | relaxed

Computed properties:
Total moment ... 0.0 μB per formula unit
D(E_F) ... 5.99 states/eV/cell
Calculated volume ... 604.9 Å³/cell

a b c (Å): 8.4571 8.4571 8.4571
angles (deg): 90.00 90.00 90.00
Space group Pm-3n (No. 223)
One atom of each set of equivalent atoms:
Rb1 0.0000 0.0000 0.0000 (multiplicity 2)
Sn1 0.0000 0.2500 0.5000 (multiplicity 6)
Pb1 0.0000 0.5000 0.2500 (multiplicity 6)



(Q)
RbSn3Pb3 | PBE | relaxed

Computed properties:
Total moment ... 0.0 μB per formula unit
D(E_F) ... 7.25 states/eV/cell
Calculated volume ... 445.1 Å³/cell

a b c (Å): 9.3577 9.3577 5.8690
angles (deg): 90.00 90.00 120.00
Space group P6_3/m (No. 176)
One atom of each set of equivalent atoms:
Rb1 0.3333 0.6667 0.2500 (multiplicity 2)
Sn1 0.0318 0.2163 0.2500 (multiplicity 6)
Pb1 0.0926 0.4583 0.7500 (multiplicity 6)



Of them, the most stable is (Q) and the least stable is (P).



(P)
RbSr3Pb | PBE | relaxed

Computed properties:
Total moment ... 0.0 μB per formula unit
D(E_F) ... 7.93 states/eV/cell
Calculated volume ... 290.3 Å³/cell

a b c (Å): 6.6217 6.6217 6.6217
angles (deg): 90.00 90.00 90.00
Space group Pm-3m (No. 221)
One atom of each set of equivalent atoms:
Rb1 0.0000 0.0000 0.0000 (multiplicity 1)
Sr1 0.0000 0.5000 0.5000 (multiplicity 3)
Pb1 0.5000 0.5000 0.5000 (multiplicity 1)



(Q)
RbSr3Pb | PBE | relaxed

Computed properties:
Total moment ... 1.5 μB per formula unit
D(E_F) ... 6.92 states/eV/cell
Calculated volume ... 264.3 Å³/cell

a b c (Å): 6.4177 6.4177 6.4177
angles (deg): 90.00 90.00 90.00
Space group Pm-3m (No. 221)
One atom of each set of equivalent atoms:
Rb1 0.0000 0.0000 0.0000 (multiplicity 1)
Sr1 0.0000 0.0000 0.5000 (multiplicity 3)
Pb1 0.5000 0.5000 0.5000 (multiplicity 1)



Of them, the most stable is (P) and the least stable is (Q).



(P)
RbTaPb2 | PBE | relaxed

Computed properties:
Total moment ... 0.0 μB per formula unit
D(E_F) ... 6.09 states/eV/cell
Calculated volume ... 793.2 Å³/cell

a b c (Å): 6.8941 6.8941 16.6886
angles (deg): 90.00 90.00 90.00
Space group I-42d (No. 122)
One atom of each set of equivalent atoms:
Rb1 0.0000 0.0000 0.0000 (multiplicity 4)
Ta1 0.0000 0.0000 0.5000 (multiplicity 4)
Pb1 0.0359 0.2500 0.6250 (multiplicity 8)



(Q)
RbTaPb2 | PBE | relaxed

Computed properties:
Total moment ... 2.4 μB per formula unit
D(E_F) ... 17.06 states/eV/cell
Calculated volume ... 457.3 Å³/cell

a b c (Å): 7.7040 7.7040 7.7040
angles (deg): 90.00 90.00 90.00
Space group Fm-3m (No. 225)
One atom of each set of equivalent atoms:
Rb1 0.0000 0.0000 0.0000 (multiplicity 4)
Ta1 0.0000 0.0000 0.5000 (multiplicity 4)
Pb1 0.2500 0.2500 0.2500 (multiplicity 8)



Of them, the most stable is (P) and the least stable is (Q).



(P)
RbTa3Pb | PBE | relaxed

Computed properties:
Total moment ... 0.0 μB per formula unit
D(E_F) ... 2.76 states/eV/cell
Calculated volume ... 152.5 Å³/cell

a b c (Å): 5.3421 5.3421 5.3421
angles (deg): 90.00 90.00 90.00
Space group Pm-3m (No. 221)
One atom of each set of equivalent atoms:
Rb1 0.0000 0.0000 0.0000 (multiplicity 1)
Ta1 0.0000 0.5000 0.5000 (multiplicity 3)
Pb1 0.5000 0.5000 0.5000 (multiplicity 1)



(Q)
RbTa3Pb | PBE | relaxed

Computed properties:
Total moment ... 0.0 μB per formula unit
D(E_F) ... 2.45 states/eV/cell
Calculated volume ... 117.6 Å³/cell

a b c (Å): 4.8996 4.8996 4.8996
angles (deg): 90.00 90.00 90.00
Space group Pm-3m (No. 221)
One atom of each set of equivalent atoms:
Rb1 0.0000 0.0000 0.0000 (multiplicity 1)
Ta1 0.0000 0.0000 0.5000 (multiplicity 3)
Pb1 0.5000 0.5000 0.5000 (multiplicity 1)



Of them, the most stable is (P) and the least stable is (Q).



(P)
RbTc3Pb | PBE | relaxed

Computed properties:
Total moment ... 7.8 μB per formula unit
D(E_F) ... 7.96 states/eV/cell
Calculated volume ... 147.8 Å³/cell

a b c (Å): 5.2871 5.2871 5.2871
angles (deg): 90.00 90.00 90.00
Space group Pm-3m (No. 221)
One atom of each set of equivalent atoms:
Rb1 0.0000 0.0000 0.0000 (multiplicity 1)
Tc1 0.0000 0.5000 0.5000 (multiplicity 3)
Pb1 0.5000 0.5000 0.5000 (multiplicity 1)



(Q)
RbTc3Pb | PBE | relaxed

Computed properties:
Total moment ... 7.1 μB per formula unit
D(E_F) ... 5.86 states/eV/cell
Calculated volume ... 117.8 Å³/cell

a b c (Å): 4.9016 4.9016 4.9016
angles (deg): 90.00 90.00 90.00
Space group Pm-3m (No. 221)
One atom of each set of equivalent atoms:
Rb1 0.0000 0.0000 0.0000 (multiplicity 1)
Tc1 0.0000 0.0000 0.5000 (multiplicity 3)
Pb1 0.5000 0.5000 0.5000 (multiplicity 1)



Of them, the most stable is (P) and the least stable is (Q).



(P)
RbTe3Pb | PBE | relaxed

Computed properties:
Total moment ... 0.5 μB per formula unit
D(E_F) ... 9.26 states/eV/cell
Calculated volume ... 230.3 Å³/cell

a b c (Å): 6.1299 6.1299 6.1299
angles (deg): 90.00 90.00 90.00
Space group Pm-3m (No. 221)
One atom of each set of equivalent atoms:
Rb1 0.0000 0.0000 0.0000 (multiplicity 1)
Te1 0.0000 0.0000 0.5000 (multiplicity 3)
Pb1 0.5000 0.5000 0.5000 (multiplicity 1)



(Q)
RbTe3Pb | PBE | relaxed

Computed properties:
Total moment ... 0.0 μB per formula unit
D(E_F) ... 6.13 states/eV/cell
Calculated volume ... 217.1 Å³/cell

a b c (Å): 6.0099 6.0099 6.0099
angles (deg): 90.00 90.00 90.00
Space group Pm-3m (No. 221)
One atom of each set of equivalent atoms:
Rb1 0.0000 0.0000 0.0000 (multiplicity 1)
Te1 0.0000 0.5000 0.5000 (multiplicity 3)
Pb1 0.5000 0.5000 0.5000 (multiplicity 1)



Of them, the most stable is (Q) and the least stable is (P).



(P)
Rb2TePb | PBE | relaxed

Computed properties:
Total moment ... 0.5 μB per formula unit
D(E_F) ... 15.92 states/eV/cell
Calculated volume ... 730.4 Å³/cell

a b c (Å): 10.3833 10.3833 6.7747
angles (deg): 90.00 90.00 90.00
Space group I-42d (No. 122)
One atom of each set of equivalent atoms:
Rb1 0.2112 0.2500 0.1250 (multiplicity 8)
Te1 0.0000 0.0000 0.0000 (multiplicity 4)
Pb1 0.0000 0.0000 0.5000 (multiplicity 4)



(Q)
Rb2TePb | PBE | relaxed

Computed properties:
Total moment ... 2.0 μB per formula unit
D(E_F) ... 12.22 states/eV/cell
Calculated volume ... 688.3 Å³/cell

a b c (Å): 8.8292 8.8292 8.8292
angles (deg): 90.00 90.00 90.00
Space group Fm-3m (No. 225)
One atom of each set of equivalent atoms:
Rb1 0.2500 0.2500 0.2500 (multiplicity 8)
Te1 0.0000 0.0000 0.0000 (multiplicity 4)
Pb1 0.0000 0.0000 0.5000 (multiplicity 4)



Of them, the most stable is (P) and the least stable is (Q).